Entry 1:
# LaMgZn2Pd

A geometry-optimized LaMgZn2Pd structure (PBE, the Alexandria database).

POSCAR file:
```
LaMgZn2Pd
1.0
4.872 0.000 0.000
0.000 4.872 0.000
0.000 0.000 4.842
La Mg Zn Pd
1 1 2 1
Cartesian
0.000 0.000 0.000
2.436 2.436 0.000
0.000 2.436 2.421
2.436 0.000 2.421
2.436 2.436 2.421
```

Output
Magnetization = 0.00 μB/cell
Energy above the most stable polymorph in this dataset = 184 meV/atom
Total energy = -3.15 eV/atom
Energy relative to the elements = -0.300 eV per atom
Space-group type = No. 123

Entry 2:
# La2MgZn2Pd5

A geometry-optimized La2MgZn2Pd5 structure (PBE, the Alexandria database).

POSCAR file:
```
La2MgZn2Pd5
1.0
10.045 0.000 0.000
0.000 10.045 0.000
0.000 0.000 3.814
La Mg Zn Pd
4 2 4 10
Cartesian
1.795 3.227 0.000
3.227 8.250 0.000
6.817 1.795 0.000
8.250 6.817 0.000
0.000 0.000 0.000
5.022 5.022 0.000
1.188 6.211 0.000
3.834 1.188 0.000
6.211 8.856 0.000
8.856 3.834 0.000
0.000 5.022 1.907
0.645 7.949 1.907
2.095 0.645 1.907
2.927 5.667 1.907
4.378 2.927 1.907
5.022 0.000 1.907
5.667 7.117 1.907
7.117 4.378 1.907
7.949 9.400 1.907
9.400 2.095 1.907
```

Output
Magnetization = 0.00 μB/cell
Total energy = -4.65 eV/atom
Energy relative to the elements = -0.658 eV per atom
Space-group type = No. 127

> Look up the total energy of the first one.

-3.15 eV/atom

> What is the magnetization in the second record?

0.00 μB/cell